First-principles (PBE with a Hubbard U) data for a relaxed structure of YVIn2O, as listed in Alexandria via LeMat-Bulk.

The calculation puts the total magnetic moment at 0.67 μB/cell. The calculation puts the electronic total energy at -26.02 eV per cell. Its volume is 22.07 A^3/atom.

It has space group P4/mmm (No. 123), with a = 5.4240 Å, b = 5.4240 Å, c = 3.7503 Å, α = 90.00°, β = 90.00° and γ = 90.00°. The distinct sites, in fractional coordinates, are Y at (0.0000, 0.0000, 0.0000), V at (0.5000, 0.5000, 0.0000), In at (0.0000, 0.5000, 0.5000) and O at (0.5000, 0.5000, 0.5000).